[1]
Entry from the Alexandria database: KRbZnSn after structural relaxation (PBE).

Computed properties:
energy of formation	-0.1242	eV per atom
DFT total energy	-1.9596	eV/atom
theoretical density	2.8	g cm⁻³

Structure (CIF):
```
data_KRbZnSn
_cell_length_a 9.5661
_cell_length_b 9.5661
_cell_length_c 9.5661
_cell_angle_alpha 28.96
_cell_angle_beta 28.96
_cell_angle_gamma 28.96
_space_group_name_H-M_alt 'P 1'
_space_group_IT_number 1
loop_
_space_group_symop_operation_xyz
'x,y,z'
loop_
_atom_site_label
_atom_site_type_symbol
_atom_site_fract_x
_atom_site_fract_y
_atom_site_fract_z
K1 K 0.0000 0.0000 0.0000
Rb1 Rb 0.8241 0.8241 0.8241
Zn1 Zn 0.5832 0.5832 0.5832
Sn1 Sn 0.2497 0.2497 0.2497
```

[2]
Entry from the Alexandria database: Pr3Sm2Y6 after structural relaxation (PBE).

Computed properties:
energy of formation	0.0117	eV per atom
DFT total energy	-5.6756	eV/atom
theoretical density	5.7	g cm⁻³
ΔE to the lowest computed polymorph	0.00	eV per formula unit

Structure (CIF):
```
data_Pr3Sm2Y6
_cell_length_a 32.3280
_cell_length_b 32.3280
_cell_length_c 32.3280
_cell_angle_alpha 6.43
_cell_angle_beta 6.43
_cell_angle_gamma 6.43
_space_group_name_H-M_alt 'P 1'
_space_group_IT_number 1
loop_
_space_group_symop_operation_xyz
'x,y,z'
loop_
_atom_site_label
_atom_site_type_symbol
_atom_site_fract_x
_atom_site_fract_y
_atom_site_fract_z
Pr1 Pr 0.0000 0.0000 0.0000
Pr2 Pr 0.2724 0.2724 0.2724
Pr3 Pr 0.7276 0.7276 0.7276
Sm1 Sm 0.4548 0.4548 0.4548
Sm2 Sm 0.5452 0.5452 0.5452
Y1 Y 0.0914 0.0914 0.0914
Y2 Y 0.1816 0.1816 0.1816
Y3 Y 0.3638 0.3638 0.3638
Y4 Y 0.6362 0.6362 0.6362
Y5 Y 0.8184 0.8184 0.8184
Y6 Y 0.9086 0.9086 0.9086
```

[3]
Entry from the Alexandria database: ZnCr2Tc after structural relaxation (PBE).

Computed properties:
energy of formation	0.1511	eV per atom
DFT total energy	-7.5706	eV/atom
theoretical density	8.3	g cm⁻³

Structure (CIF):
```
data_ZnCr2Tc
_cell_length_a 3.0143
_cell_length_b 3.0143
_cell_length_c 5.9228
_cell_angle_alpha 90.00
_cell_angle_beta 90.00
_cell_angle_gamma 90.00
_space_group_name_H-M_alt 'P 1'
_space_group_IT_number 1
loop_
_space_group_symop_operation_xyz
'x,y,z'
loop_
_atom_site_label
_atom_site_type_symbol
_atom_site_fract_x
_atom_site_fract_y
_atom_site_fract_z
Zn1 Zn 0.0000 0.0000 0.0000
Cr1 Cr 0.5000 0.5000 0.2584
Cr2 Cr 0.5000 0.5000 0.7416
Tc1 Tc 0.0000 0.0000 0.5000
```

[4]
Entry from the Alexandria database: BaScPd2 after structural relaxation (PBE).

Computed properties:
energy of formation	-0.3578	eV per atom
DFT total energy	-5.0177	eV/atom
theoretical density	6.9	g cm⁻³
ΔE to the lowest computed polymorph	1.13	eV per formula unit

Structure (CIF):
```
data_BaScPd2
_cell_length_a 5.1134
_cell_length_b 5.1134
_cell_length_c 5.1134
_cell_angle_alpha 60.00
_cell_angle_beta 60.00
_cell_angle_gamma 60.00
_space_group_name_H-M_alt 'P 1'
_space_group_IT_number 1
loop_
_space_group_symop_operation_xyz
'x,y,z'
loop_
_atom_site_label
_atom_site_type_symbol
_atom_site_fract_x
_atom_site_fract_y
_atom_site_fract_z
Ba1 Ba 0.0000 0.0000 0.0000
Sc1 Sc 0.5000 0.5000 0.5000
Pd1 Pd 0.2500 0.2500 0.2500
Pd2 Pd 0.7500 0.7500 0.7500
```

[5]
Entry from the Alexandria database: LaDy2Er7 after structural relaxation (PBE).

Computed properties:
energy of formation	0.7026	eV per atom
DFT total energy	-3.9046	eV/atom
theoretical density	6.9	g cm⁻³
ΔE to the lowest computed polymorph	6.77	eV per formula unit

Structure (CIF):
```
data_LaDy2Er7
_cell_length_a 9.1430
_cell_length_b 9.1430
_cell_length_c 5.5996
_cell_angle_alpha 90.00
_cell_angle_beta 90.00
_cell_angle_gamma 123.34
_space_group_name_H-M_alt 'P 1'
_space_group_IT_number 1
loop_
_space_group_symop_operation_xyz
'x,y,z'
loop_
_atom_site_label
_atom_site_type_symbol
_atom_site_fract_x
_atom_site_fract_y
_atom_site_fract_z
La1 La 0.0000 0.0000 0.0000
Dy1 Dy 0.2968 0.7032 0.5000
Dy2 Dy 0.7032 0.2968 0.5000
Er1 Er 0.0606 0.2921 0.5000
Er2 Er 0.2168 0.7832 0.0000
Er3 Er 0.2921 0.0606 0.5000
Er4 Er 0.5000 0.5000 0.5000
Er5 Er 0.7079 0.9394 0.5000
Er6 Er 0.7832 0.2168 0.0000
Er7 Er 0.9394 0.7079 0.5000
```

[6]
Entry from the Alexandria database: AcLa2Co6 after structural relaxation (PBE).

Computed properties:
energy of formation	-0.0359	eV per atom
DFT total energy	-6.3247	eV/atom
theoretical density	8.0	g cm⁻³

Structure (CIF):
```
data_AcLa2Co6
_cell_length_a 6.8604
_cell_length_b 6.8604
_cell_length_c 4.3454
_cell_angle_alpha 90.00
_cell_angle_beta 90.00
_cell_angle_gamma 120.00
_space_group_name_H-M_alt 'P 1'
_space_group_IT_number 1
loop_
_space_group_symop_operation_xyz
'x,y,z'
loop_
_atom_site_label
_atom_site_type_symbol
_atom_site_fract_x
_atom_site_fract_y
_atom_site_fract_z
Ac1 Ac 0.0000 0.0000 0.0000
La1 La 0.3333 0.6667 0.0000
La2 La 0.6667 0.3333 0.0000
Co1 Co 0.0000 0.3351 0.5000
Co2 Co 0.0000 0.6649 0.5000
Co3 Co 0.3351 0.0000 0.5000
Co4 Co 0.3351 0.3351 0.5000
Co5 Co 0.6649 0.0000 0.5000
Co6 Co 0.6649 0.6649 0.5000
```

[7]
Entry from the Alexandria database: Li2AcPmCd4 after structural relaxation (PBE).

Computed properties:
energy of formation	-0.2457	eV per atom
DFT total energy	-2.2891	eV/atom
theoretical density	6.7	g cm⁻³

Structure (CIF):
```
data_Li2AcPmCd4
_cell_length_a 9.5961
_cell_length_b 9.5961
_cell_length_c 9.5961
_cell_angle_alpha 31.05
_cell_angle_beta 31.05
_cell_angle_gamma 31.05
_space_group_name_H-M_alt 'P 1'
_space_group_IT_number 1
loop_
_space_group_symop_operation_xyz
'x,y,z'
loop_
_atom_site_label
_atom_site_type_symbol
_atom_site_fract_x
_atom_site_fract_y
_atom_site_fract_z
Li1 Li 0.2426 0.2426 0.2426
Li2 Li 0.7574 0.7574 0.7574
Ac1 Ac 0.0000 0.0000 0.0000
Pm1 Pm 0.5000 0.5000 0.5000
Cd1 Cd 0.1241 0.1241 0.1241
Cd2 Cd 0.3875 0.3875 0.3875
Cd3 Cd 0.6125 0.6125 0.6125
Cd4 Cd 0.8759 0.8759 0.8759
```

[8]
Entry from the Alexandria database: Na3Tl5I8 after structural relaxation (PBE).

Computed properties:
DFT total energy	-2.6380	eV/atom
E_form (uncorrected)	-0.876	eV/atom
theoretical density	5.3	g cm⁻³

Structure (CIF):
```
data_Na3Tl5I8
_cell_length_a 9.7991
_cell_length_b 9.7991
_cell_length_c 9.7991
_cell_angle_alpha 59.39
_cell_angle_beta 59.39
_cell_angle_gamma 59.39
_space_group_name_H-M_alt 'P 1'
_space_group_IT_number 1
loop_
_space_group_symop_operation_xyz
'x,y,z'
loop_
_atom_site_label
_atom_site_type_symbol
_atom_site_fract_x
_atom_site_fract_y
_atom_site_fract_z
Na1 Na 0.0000 0.5000 0.5000
Na2 Na 0.5000 0.0000 0.5000
Na3 Na 0.5000 0.5000 0.0000
Tl1 Tl 0.0000 0.0000 0.0000
Tl2 Tl 0.0000 0.0000 0.5000
Tl3 Tl 0.0000 0.5000 0.0000
Tl4 Tl 0.5000 0.0000 0.0000
Tl5 Tl 0.5000 0.5000 0.5000
I1 I 0.2500 0.2500 0.7320
I2 I 0.2500 0.7320 0.2500
I3 I 0.2581 0.2581 0.2581
I4 I 0.2680 0.7500 0.7500
I5 I 0.7320 0.2500 0.2500
I6 I 0.7419 0.7419 0.7419
I7 I 0.7500 0.2680 0.7500
I8 I 0.7500 0.7500 0.2680
```

[9]
Entry from the Alexandria database: CuW2Au after structural relaxation (PBE).

Computed properties:
energy of formation	0.3717	eV per atom
DFT total energy	-7.9483	eV/atom
theoretical density	16.9	g cm⁻³
ΔE to the lowest computed polymorph	0.58	eV per formula unit

Structure (CIF):
```
data_CuW2Au
_cell_length_a 3.7804
_cell_length_b 3.7804
_cell_length_c 4.3272
_cell_angle_alpha 90.00
_cell_angle_beta 90.00
_cell_angle_gamma 90.00
_space_group_name_H-M_alt 'P 1'
_space_group_IT_number 1
loop_
_space_group_symop_operation_xyz
'x,y,z'
loop_
_atom_site_label
_atom_site_type_symbol
_atom_site_fract_x
_atom_site_fract_y
_atom_site_fract_z
Cu1 Cu 0.0000 0.0000 0.0000
W1 W 0.0000 0.5000 0.5000
W2 W 0.5000 0.0000 0.5000
Au1 Au 0.5000 0.5000 0.0000
```

[10]
Entry from the Alexandria database: CdPPt3 after structural relaxation (PBE).

Computed properties:
energy of formation	-0.3659	eV per atom
DFT total energy	-5.2554	eV/atom
theoretical density	13.9	g cm⁻³
ΔE to the lowest computed polymorph	0.00	eV per formula unit

Structure (CIF):
```
data_CdPPt3
_cell_length_a 5.6919
_cell_length_b 5.6919
_cell_length_c 6.5805
_cell_angle_alpha 110.95
_cell_angle_beta 110.95
_cell_angle_gamma 64.02
_space_group_name_H-M_alt 'P 1'
_space_group_IT_number 1
loop_
_space_group_symop_operation_xyz
'x,y,z'
loop_
_atom_site_label
_atom_site_type_symbol
_atom_site_fract_x
_atom_site_fract_y
_atom_site_fract_z
Cd1 Cd 0.0827 0.0827 0.3430
Cd2 Cd 0.9173 0.9173 0.6570
P1 P 0.3592 0.3592 0.9973
P2 P 0.6408 0.6408 0.0027
Pt1 Pt 0.0646 0.5437 0.2433
Pt2 Pt 0.4170 0.4170 0.6655
Pt3 Pt 0.4563 0.9354 0.7567
Pt4 Pt 0.5437 0.0646 0.2433
Pt5 Pt 0.5830 0.5830 0.3345
Pt6 Pt 0.9354 0.4563 0.7567
```

[11]
Entry from the Alexandria database: Sc4FeNi after structural relaxation (PBE).

Computed properties:
energy of formation	-0.0341	eV per atom
DFT total energy	-6.6291	eV/atom
theoretical density	3.8	g cm⁻³
ΔE to the lowest computed polymorph	1.08	eV per formula unit

Structure (CIF):
```
data_Sc4FeNi
_cell_length_a 7.0399
_cell_length_b 7.0399
_cell_length_c 7.0399
_cell_angle_alpha 103.78
_cell_angle_beta 103.78
_cell_angle_gamma 121.56
_space_group_name_H-M_alt 'P 1'
_space_group_IT_number 1
loop_
_space_group_symop_operation_xyz
'x,y,z'
loop_
_atom_site_label
_atom_site_type_symbol
_atom_site_fract_x
_atom_site_fract_y
_atom_site_fract_z
Sc1 Sc 0.1924 0.4975 0.6949
Sc2 Sc 0.2475 0.0527 0.8051
Sc3 Sc 0.2475 0.4424 0.1949
Sc4 Sc 0.2711 0.0000 0.2711
Sc5 Sc 0.7289 0.0000 0.7289
Sc6 Sc 0.7500 0.5211 0.7711
Sc7 Sc 0.7500 0.9789 0.2289
Sc8 Sc 0.8027 0.4975 0.3051
Fe1 Fe 0.7214 0.2214 0.5000
Fe2 Fe 0.9714 0.9714 0.0000
Ni1 Ni 0.2858 0.7858 0.5000
Ni2 Ni 0.5358 0.5358 0.0000
```

[12]
Entry from the Alexandria database: Pr2MgS4 after structural relaxation (PBE).

Computed properties:
DFT total energy	-5.7789	eV/atom
E_form (uncorrected)	-1.827	eV/atom
theoretical density	3.7	g cm⁻³
ΔE to the lowest computed polymorph	0.00	eV per formula unit

Structure (CIF):
```
data_Pr2MgS4
_cell_length_a 14.0231
_cell_length_b 8.2963
_cell_length_c 6.6902
_cell_angle_alpha 90.00
_cell_angle_beta 90.00
_cell_angle_gamma 90.00
_space_group_name_H-M_alt 'P 1'
_space_group_IT_number 1
loop_
_space_group_symop_operation_xyz
'x,y,z'
loop_
_atom_site_label
_atom_site_type_symbol
_atom_site_fract_x
_atom_site_fract_y
_atom_site_fract_z
Pr1 Pr 0.0000 0.0000 0.0000
Pr2 Pr 0.0000 0.5000 0.0000
Pr3 Pr 0.2283 0.2500 0.4876
Pr4 Pr 0.2717 0.7500 0.9876
Pr5 Pr 0.5000 0.0000 0.5000
Pr6 Pr 0.5000 0.5000 0.5000
Pr7 Pr 0.7283 0.2500 0.0124
Pr8 Pr 0.7717 0.7500 0.5124
Mg1 Mg 0.0973 0.7500 0.4180
Mg2 Mg 0.4027 0.2500 0.9180
Mg3 Mg 0.5973 0.7500 0.0820
Mg4 Mg 0.9027 0.2500 0.5820
S1 S 0.0641 0.2500 0.7388
S2 S 0.0908 0.7500 0.7791
S3 S 0.1704 0.5193 0.2416
S4 S 0.1704 0.9807 0.2416
S5 S 0.3296 0.0193 0.7416
S6 S 0.3296 0.4807 0.7416
S7 S 0.4092 0.2500 0.2791
S8 S 0.4359 0.7500 0.2388
S9 S 0.5641 0.2500 0.7612
S10 S 0.5908 0.7500 0.7209
S11 S 0.6704 0.5193 0.2584
S12 S 0.6704 0.9807 0.2584
S13 S 0.8296 0.0193 0.7584
S14 S 0.8296 0.4807 0.7584
S15 S 0.9092 0.2500 0.2209
S16 S 0.9359 0.7500 0.2612
```

The lowest theoretical density belongs to which entry?
KRbZnSn